This record from the Alexandria database describes a geometry-optimized Mn2GaHOs structure. The functional is PBE.

Cell: 3.7708 3.7708 3.9003 Å, 90.00 90.00 90.00°
Sites, in units of the cell vectors:
1 Mn 0.0000 0.5000 0.0000
2 Mn 0.5000 0.0000 0.0000
3 Ga 0.0000 0.0000 0.5000
4 H 0.5000 0.5000 0.0000
5 Os 0.5000 0.5000 0.5000

Summary:
Electronic total energy   -7.18 eV/atom
Total moment   5.26 μB per cell
Symmetry   P4/mmm, No. 123